Material: ErSiP2N6
Method: DFT, GGA-PBE
State: relaxed

Lattice parameters (Å, degrees): 6.8866 6.8866 5.6054 108.31 108.31 90.49
Closest atoms and distances in Å follow each position.
Atoms (fractional coordinates):
Er (0.1243, 0.8757, 0.7500)  6 N 2.29-2.46
Er (0.8757, 0.1243, 0.2500)  6 N 2.29-2.46
Si (0.2026, 0.7974, 0.2500)  4 N 1.69-1.76
Si (0.7974, 0.2026, 0.7500)  4 N 1.69-1.76
P (0.2369, 0.3925, 0.8553)  4 N 1.61-1.66
P (0.3925, 0.2369, 0.3553)  4 N 1.61-1.66
P (0.6075, 0.7631, 0.6447)  4 N 1.61-1.66
P (0.7631, 0.6075, 0.1447)  4 N 1.61-1.66
N (0.0390, 0.2122, 0.7060)  1 P 1.64, 1 Si 1.76
N (0.1853, 0.6272, 0.9484)  1 P 1.61, 1 Si 1.69
N (0.2122, 0.0390, 0.2060)  1 P 1.64, 1 Si 1.76
N (0.3342, 0.3785, 0.6161)  2 P 1.65-1.66
N (0.3728, 0.8147, 0.5516)  1 P 1.61, 1 Si 1.69
N (0.3785, 0.3342, 0.1161)  2 P 1.65-1.66
N (0.6215, 0.6658, 0.8839)  2 P 1.65-1.66
N (0.6272, 0.1853, 0.4484)  1 P 1.61, 1 Si 1.69
N (0.6658, 0.6215, 0.3839)  2 P 1.65-1.66
N (0.7878, 0.9610, 0.7940)  1 P 1.64, 1 Si 1.76
N (0.8147, 0.3728, 0.0516)  1 P 1.61, 1 Si 1.69
N (0.9610, 0.7878, 0.2940)  1 P 1.64, 1 Si 1.76

Formation energy (no corrections)   -0.69 eV/atom
Space-group type   No. 15
Mass density   4.77 g/cm³
Total magnetization   1.96 μB per cell
Crystal system   monoclinic